No. 1
CeSm5Er12 after structural relaxation. Source: the Alexandria database, functional PBE.

The structure belongs to space group C2/m (No. 12); the cell edges are 11.303, 17.183 and 5.894 Å and the angles 90.00°, 90.09° and 90.00°. The distinct sites, in fractional coordinates, are Ce at (0.000, 0.000, 0.000), Sm at (0.000, 0.166, 0.500), Sm at (0.000, 0.334, 0.000), Sm at (0.000, 0.500, 0.500), Er at (0.176, 0.000, 0.445), Er at (0.176, 0.167, 0.049), Er at (0.176, 0.333, 0.451) and Er at (0.179, 0.500, 0.055).


No. 2
CeSm2Er5 after structural relaxation. Source: the Alexandria database, functional PBE.

The excess energy over the best structure of this formula in the dataset is 146 meV per atom.

The structure belongs to space group C2/c (No. 15); the cell edges are 16.073, 9.821 and 6.422 Å and the angles 90.00°, 97.52° and 90.00°. The distinct sites, in fractional coordinates, are Ce at (0.250, 0.250, 0.000), Sm at (0.081, 0.244, 0.116), Er at (0.000, 0.444, 0.750), Er at (0.099, 0.092, 0.638) and Er at (0.198, 0.410, 0.528).


No. 3
Ce2SmEr after structural relaxation. Source: the Alexandria database, functional PBE.

The excess energy over the best structure of this formula in the dataset is 147 meV per atom.

The structure belongs to space group Fm-3m (No. 225); the cell edges are 7.991, 7.991 and 7.991 Å and the angles 90.00°, 90.00° and 90.00°. The distinct sites, in fractional coordinates, are Ce at (0.250, 0.250, 0.250), Sm at (0.000, 0.000, 0.000) and Er at (0.000, 0.000, 0.500).


No. 4
CeSm4Er after structural relaxation. Source: the Alexandria database, functional PBE.

The excess energy over the best structure of this formula in the dataset is 0 meV per atom.

The structure belongs to space group C2/m (No. 12); the cell edges are 6.217, 10.796 and 6.210 Å and the angles 90.00°, 109.41° and 90.00°. The distinct sites, in fractional coordinates, are Ce at (0.000, 0.000, 0.000), Sm at (0.000, 0.164, 0.500), Sm at (0.000, 0.334, 0.000) and Er at (0.000, 0.500, 0.500).


No. 5
CeSm10Er4 after structural relaxation. Source: the Alexandria database, functional PBE.

The structure belongs to space group I4/m (No. 87); the cell edges are 9.742, 9.742 and 10.635 Å and the angles 90.00°, 90.00° and 90.00°. The distinct sites, in fractional coordinates, are Ce at (0.000, 0.000, 0.000), Sm at (0.000, 0.500, 0.250), Sm at (0.115, 0.214, 0.344) and Er at (0.063, 0.333, 0.000).


No. 6
Ce2SmEr after structural relaxation. Source: the Alexandria database, functional PBE.

The excess energy over the best structure of this formula in the dataset is 7 meV per atom.

The structure belongs to space group P4/mmm (No. 123); the cell edges are 4.913, 4.913 and 5.072 Å and the angles 90.00°, 90.00° and 90.00°. The distinct sites, in fractional coordinates, are Ce at (0.000, 0.500, 0.000), Sm at (0.000, 0.000, 0.500) and Er at (0.500, 0.500, 0.500).


No. 7
CeSm4Er after structural relaxation. Source: the Alexandria database, functional PBE.

The excess energy over the best structure of this formula in the dataset is 205 meV per atom.

The structure belongs to space group Imma (No. 74); the cell edges are 6.685, 11.675 and 10.192 Å and the angles 90.00°, 90.00° and 90.00°. The distinct sites, in fractional coordinates, are Ce at (0.000, 0.000, 0.000), Sm at (0.000, 0.005, 0.334), Sm at (0.250, 0.250, 0.579) and Er at (0.250, 0.250, 0.250).


No. 8
Ce2SmEr after structural relaxation. Source: the Alexandria database, functional PBE.

The excess energy over the best structure of this formula in the dataset is 11 meV per atom.

The structure belongs to space group P4/mmm (No. 123); the cell edges are 3.474, 3.474 and 10.159 Å and the angles 90.00°, 90.00° and 90.00°. The distinct sites, in fractional coordinates, are Ce at (0.000, 0.000, 0.247), Sm at (0.500, 0.500, 0.500) and Er at (0.500, 0.500, 0.000).


No. 9
CeSm6Er after structural relaxation. Source: the Alexandria database, functional PBE.

The excess energy over the best structure of this formula in the dataset is 0 meV per atom.

The structure belongs to space group Fmmm (No. 69); the cell edges are 7.208, 10.165 and 14.420 Å and the angles 90.00°, 90.00° and 90.00°. The distinct sites, in fractional coordinates, are Ce at (0.000, 0.000, 0.000), Sm at (0.000, 0.000, 0.248), Sm at (0.250, 0.250, 0.122) and Er at (0.000, 0.000, 0.500).


No. 10
CeSm3Er3 after structural relaxation. Source: the Alexandria database, functional PBE.

The structure belongs to space group Cmmm (No. 65); the cell edges are 11.346, 11.471 and 7.130 Å and the angles 90.00°, 90.00° and 90.00°. The distinct sites, in fractional coordinates, are Ce at (0.000, 0.206, 0.000), Sm at (0.000, 0.500, 0.250), Sm at (0.250, 0.250, 0.246), Er at (0.000, 0.219, 0.500), Er at (0.209, 0.000, 0.500) and Er at (0.219, 0.000, 0.000).


No. 11
CeSm12Er5 after structural relaxation. Source: the Alexandria database, functional PBE.

The structure belongs to space group Cmmm (No. 65); the cell edges are 15.232, 15.237 and 5.081 Å and the angles 90.00°, 90.00° and 90.00°. The distinct sites, in fractional coordinates, are Ce at (0.000, 0.000, 0.000), Sm at (0.164, 0.000, 0.500), Sm at (0.165, 0.166, 0.000), Sm at (0.165, 0.334, 0.500), Sm at (0.165, 0.500, 0.000), Er at (0.000, 0.166, 0.500), Er at (0.000, 0.333, 0.000) and Er at (0.000, 0.500, 0.500).


No. 12
CeSm3Er4 after structural relaxation. Source: the Alexandria database, functional PBE.

The structure belongs to space group P2/m (No. 10); the cell edges are 6.166, 3.555 and 11.713 Å and the angles 90.00°, 100.16° and 90.00°. The distinct sites, in fractional coordinates, are Ce at (0.000, 0.000, 0.000), Sm at (0.000, 0.500, 0.500), Sm at (0.500, 0.000, 0.500), Sm at (0.500, 0.500, 0.000), Er at (0.246, 0.500, 0.247) and Er at (0.247, 0.000, 0.751).


No. 13
CeSm7Er4 after structural relaxation. Source: the Alexandria database, functional PBE.

The structure belongs to space group C2/m (No. 12); the cell edges are 16.404, 5.866 and 9.341 Å and the angles 90.00°, 117.58° and 90.00°. The distinct sites, in fractional coordinates, are Ce at (0.000, 0.000, 0.000), Sm at (0.000, 0.500, 0.000), Sm at (0.075, 0.000, 0.697), Sm at (0.173, 0.000, 0.384), Sm at (0.213, 0.500, 0.874), Er at (0.080, 0.500, 0.437) and Er at (0.210, 0.500, 0.230).


No. 14
CeSm3Er12 after structural relaxation. Source: the Alexandria database, functional PBE.

The structure belongs to space group P4/mmm (No. 123); the cell edges are 4.992, 4.992 and 19.965 Å and the angles 90.00°, 90.00° and 90.00°. The distinct sites, in fractional coordinates, are Ce at (0.000, 0.000, 0.000), Sm at (0.000, 0.000, 0.248), Sm at (0.000, 0.000, 0.500), Er at (0.000, 0.500, 0.123), Er at (0.000, 0.500, 0.374), Er at (0.500, 0.500, 0.000), Er at (0.500, 0.500, 0.250) and Er at (0.500, 0.500, 0.500).


No. 15
CeSm8Er3 after structural relaxation. Source: the Alexandria database, functional PBE.

The structure belongs to space group I-42m (No. 121); the cell edges are 8.660, 8.660 and 11.440 Å and the angles 90.00°, 90.00° and 90.00°. The distinct sites, in fractional coordinates, are Ce at (0.000, 0.000, 0.000), Sm at (0.123, 0.123, 0.240), Sm at (0.236, 0.236, 0.978), Er at (0.000, 0.000, 0.500) and Er at (0.000, 0.500, 0.250).


No. 16
CeSm2Er after structural relaxation. Source: the Alexandria database, functional PBE.

The excess energy over the best structure of this formula in the dataset is 0 meV per atom.

The structure belongs to space group R3m (No. 160, hexagonal axes); the cell edges are 3.5627, 3.5627 and 34.8755 Å and the angles 90.00°, 90.00° and 120.00°. The distinct sites, in fractional coordinates, are Ce at (0.0000, 0.0000, 0.0000), Sm at (0.0000, 0.0000, 0.5825), Sm at (0.0000, 0.0000, 0.7497) and Er at (0.0000, 0.0000, 0.1661).


No. 17
Ce2SmEr after structural relaxation. Source: the Alexandria database, functional PBE.

The excess energy over the best structure of this formula in the dataset is 0 meV per atom.

The structure belongs to space group R3m (No. 160, hexagonal axes); the cell edges are 3.4901, 3.4901 and 34.6988 Å and the angles 90.00°, 90.00° and 120.00°. The distinct sites, in fractional coordinates, are Ce at (0.0000, 0.0000, 0.0000), Ce at (0.0000, 0.0000, 0.1687), Sm at (0.0000, 0.0000, 0.7525) and Er at (0.0000, 0.0000, 0.5833).


No. 18
CeSmEr6 after structural relaxation. Source: the Alexandria database, functional PBE.

The excess energy over the best structure of this formula in the dataset is 7 meV per atom.

The structure belongs to space group C2/m (No. 12); the cell edges are 11.116, 5.003 and 9.992 Å and the angles 90.00°, 116.79° and 90.00°. The distinct sites, in fractional coordinates, are Ce at (0.000, 0.000, 0.000), Sm at (0.000, 0.000, 0.500), Er at (0.000, 0.500, 0.248), Er at (0.248, 0.500, 0.123) and Er at (0.249, 0.000, 0.373).


No. 19
CeSm4Er7 after structural relaxation. Source: the Alexandria database, functional PBE.

The structure belongs to space group P-1 (No. 2); the cell edges are 6.540, 6.805 and 9.012 Å and the angles 84.47°, 76.80° and 81.31°. The distinct sites, in fractional coordinates, are Ce at (0.000, 0.000, 0.000), Sm at (0.166, 0.614, 0.311), Sm at (0.358, 0.191, 0.716), Er at (0.000, 0.500, 0.000), Er at (0.188, 0.105, 0.384), Er at (0.320, 0.700, 0.643) and Er at (0.488, 0.248, 0.049).


No. 20
CeSm2Er after structural relaxation. Source: the Alexandria database, functional PBE.

The excess energy over the best structure of this formula in the dataset is 2 meV per atom.

The structure belongs to space group P4/mmm (No. 123); the cell edges are 3.548, 3.548 and 10.132 Å and the angles 90.00°, 90.00° and 90.00°. The distinct sites, in fractional coordinates, are Ce at (0.000, 0.000, 0.000), Sm at (0.500, 0.500, 0.246) and Er at (0.000, 0.000, 0.500).


Number 1: ΔE_f 0.12 eV per atom. Number 2: ΔE_f 0.19 eV per atom. Number 3: ΔE_f 0.25 eV per atom. Number 4: ΔE_f 0.06 eV per atom. Number 5: ΔE_f 0.34 eV per atom. Number 6: ΔE_f 0.11 eV per atom. Number 7: ΔE_f 0.26 eV per atom. Number 8: ΔE_f 0.11 eV per atom. Number 9: ΔE_f 0.05 eV per atom. Number 10: ΔE_f 0.23 eV per atom. Number 11: ΔE_f 0.03 eV per atom. Number 12: ΔE_f 0.04 eV per atom. Number 13: ΔE_f 0.22 eV per atom. Number 14: ΔE_f 0.03 eV per atom. Number 15: ΔE_f 0.58 eV per atom. Number 16: ΔE_f 0.06 eV per atom. Number 17: ΔE_f 0.10 eV per atom. Number 18: ΔE_f 0.05 eV per atom. Number 19: ΔE_f 0.10 eV per atom. Number 20: ΔE_f 0.06 eV per atom.